(1)
This record from Alexandria describes LiCo2Tc after structural relaxation. The functional is PBEsol.

Lattice parameters (Å, degrees): 2.615 4.185 4.185 90.00 90.00 90.00
Atoms (fractional coordinates):
Co 0.000 0.000 0.500
Co 0.000 0.500 0.000
Li 0.500 0.500 0.500
Tc 0.500 0.000 0.000

Computed properties:
Formation enthalpy at 0 K   0.2604 eV per atom
Energy relative to the lowest polymorph listed for this composition   77 meV per atom

(2)
This record from Alexandria describes LiCo2Tc after structural relaxation. The functional is PBEsol.

Lattice parameters (Å, degrees): 2.535 4.160 5.055 114.30 104.52 90.00
Atoms (fractional coordinates):
Co 0.004 0.004 0.009
Co 0.725 0.225 0.450
Li 0.492 0.492 0.983
Tc 0.279 0.779 0.557

Computed properties:
Formation enthalpy at 0 K   0.2433 eV per atom
Energy relative to the lowest polymorph listed for this composition   60 meV per atom

(3)
This record from Alexandria describes Li2CoTc after structural relaxation. The functional is PBEsol.

Lattice parameters (Å, degrees): 2.456 4.441 4.519 90.00 90.00 94.92
Atoms (fractional coordinates):
Co 0.500 0.000 0.500
Li 0.309 0.247 0.000
Li 0.691 0.753 0.000
Tc 0.000 0.500 0.500

Computed properties:
Formation enthalpy at 0 K   0.2768 eV per atom
Energy relative to the lowest polymorph listed for this composition   20 meV per atom